Density functional theory data (PBE) for a geometry-optimized Tl2TeN2 structure.

abc: 4.747 4.739 11.261
angles: 79.80 77.83 59.94
Atoms (fractional coordinates):
N 0.442 0.633 0.484
Tl 0.728 0.704 0.839
Te 0.000 0.000 0.000
Tl 0.272 0.296 0.161
N 0.558 0.367 0.516

Output
SG = No. 12
E_form (uncorrected) = -143 meV per atom
Uncorrected energy = -5.048 eV/atom